*1*
This record from Alexandria via LeMat-Bulk describes an optimized crystal structure of Li3WCl. The functional is PBE.

Cell: 5.2581 5.2581 5.2581 Å, 90.00 90.00 90.00°
Closest atoms and distances in Å follow each position.
Space group Pm-3m (No. 221)
Unique sites:
1 Li 0.0000 0.0000 0.5000  2 W 2.63
2 W 0.0000 0.0000 0.0000  6 Li 2.63
3 Cl 0.5000 0.5000 0.5000  12 Li 3.72

## Properties
Density of states at the Fermi level, states/eV/f.u.: 3.59
Calculated density, Mg/m³: 2.74

*2*
This record from Alexandria via LeMat-Bulk describes an optimized crystal structure of Li3WCl. The functional is PBE.

Cell: 4.5278 4.5278 4.5278 Å, 90.00 90.00 90.00°
Closest atoms and distances in Å follow each position.
Space group Pm-3m (No. 221)
Unique sites:
1 Li 0.0000 0.0000 0.5000  2 Cl 2.26
2 W 0.5000 0.5000 0.5000  12 Li 3.20
3 Cl 0.0000 0.0000 0.0000  6 Li 2.26

## Properties
Density of states at the Fermi level, states/eV/f.u.: 1.74
Calculated density, Mg/m³: 4.30

Winner for stability: *2*

*1*
This record from Alexandria via LeMat-Bulk describes an optimized crystal structure of LiWCl. The functional is PBE.

Cell: 5.6256 5.6256 5.6256 Å, 90.00 90.00 90.00°
Closest atoms and distances in Å follow each position.
Space group F-43m (No. 216)
Unique sites:
1 Li 0.0000 0.0000 0.0000  4 Cl 2.44
2 W 0.0000 0.0000 0.5000  4 Cl 2.44
3 Cl 0.2500 0.2500 0.7500  4 W 2.44, 4 Li 2.44

## Properties
Density of states at the Fermi level, states/eV/f.u.: 0.21
Calculated density, Mg/m³: 8.44

*2*
This record from Alexandria via LeMat-Bulk describes an optimized crystal structure of LiWCl. The functional is PBE.

Cell: 2.8669 2.8669 12.2904 Å, 90.00 90.00 90.00°
Closest atoms and distances in Å follow each position.
Space group I4mm (No. 107)
Unique sites:
1 Li 0.0000 0.0000 0.0000  4 Li 2.87, 4 W 2.89, 4 Cl 3.13
2 W 0.0000 0.0000 0.6675  4 Cl 2.65, 4 W 2.87, 4 Li 2.89
3 Cl 0.0000 0.0000 0.3062  4 W 2.65, 4 Cl 2.87

## Properties
Density of states at the Fermi level, states/eV/f.u.: 1.02
Calculated density, Mg/m³: 7.44

*3*
This record from Alexandria via LeMat-Bulk describes an optimized crystal structure of LiWCl. The functional is PBE.

Cell: 5.8104 5.8104 5.8104 Å, 90.00 90.00 90.00°
Closest atoms and distances in Å follow each position.
Space group F-43m (No. 216)
Unique sites:
1 Li 0.0000 0.0000 0.0000  4 W 2.52
2 W 0.2500 0.2500 0.2500  4 Cl 2.52, 4 Li 2.52
3 Cl 0.0000 0.0000 0.5000  4 W 2.52

## Properties
Density of states at the Fermi level, states/eV/f.u.: 1.12
Calculated density, Mg/m³: 7.66

*4*
This record from Alexandria via LeMat-Bulk describes an optimized crystal structure of LiWCl. The functional is PBE.

Cell: 4.3173 4.3173 2.8121 Å, 90.00 90.00 120.00°
Closest atoms and distances in Å follow each position.
Space group P-6m2 (No. 187)
Unique sites:
1 Li 0.0000 0.0000 0.0000  2 Li 2.81, 6 Cl 2.86, 6 W 2.86
2 W 0.6667 0.3333 0.5000  3 Cl 2.49
3 Cl 0.3333 0.6667 0.5000  3 W 2.49

## Properties
Density of states at the Fermi level, states/eV/f.u.: 2.98
Calculated density, Mg/m³: 8.28

Winner for stability: *2*

*1*
This record from Alexandria via LeMat-Bulk describes an optimized crystal structure of Li2YCl. The functional is PBE.

Cell: 7.1082 7.1082 7.1082 Å, 90.00 90.00 90.00°
Closest atoms and distances in Å follow each position.
Space group F-43m (No. 216)
Unique sites:
1 Li 0.0000 0.0000 0.0000  4 Cl 3.08, 4 Li 3.08
2 Li 0.2500 0.2500 0.2500  4 Li 3.08, 4 Y 3.08
3 Y 0.0000 0.0000 0.5000  4 Cl 3.08, 4 Li 3.08
4 Cl 0.2500 0.2500 0.7500  4 Li 3.08, 4 Y 3.08

## Properties
Density of states at the Fermi level, states/eV/f.u.: 2.85
Calculated density, Mg/m³: 2.56

*2*
This record from Alexandria via LeMat-Bulk describes an optimized crystal structure of Li2YCl. The functional is PBE.

Cell: 3.6510 5.7643 8.8494 Å, 90.00 90.00 90.00°
Closest atoms and distances in Å follow each position.
Space group Cmmm (No. 65)
Unique sites:
1 Li 0.0000 0.0000 0.1773  2 Cl 2.41
2 Y 0.0000 0.5000 0.5000  4 Li 3.39, 6 Y 3.41-3.65
3 Cl 0.0000 0.5000 0.0000  4 Li 2.41

## Properties
Density of states at the Fermi level, states/eV/f.u.: 1.41
Calculated density, Mg/m³: 2.47

*3*
This record from Alexandria via LeMat-Bulk describes an optimized crystal structure of Li2YCl. The functional is PBE.

Cell: 3.4052 5.5847 10.1363 Å, 90.00 90.00 90.00°
Closest atoms and distances in Å follow each position.
Space group Imm2 (No. 44)
Unique sites:
1 Li 0.0000 0.0000 0.0000  4 Cl 3.28, 6 Li 3.41-3.50, 4 Y 3.43-3.52
2 Li 0.0000 0.5000 0.2074  2 Cl 2.49
3 Y 0.0000 0.5000 0.8035  2 Cl 2.85
4 Cl 0.0000 0.0000 0.5286  2 Li 2.49

## Properties
Density of states at the Fermi level, states/eV/f.u.: 1.94
Calculated density, Mg/m³: 2.38

*4*
This record from Alexandria via LeMat-Bulk describes an optimized crystal structure of Li2YCl. The functional is PBE.

Cell: 4.2445 4.2445 9.9717 Å, 90.00 90.00 90.00°
Closest atoms and distances in Å follow each position.
Space group I-4m2 (No. 119)
Unique sites:
1 Li 0.0000 0.0000 0.0000  4 Cl 3.00, 4 Li 3.27, 4 Y 3.27
2 Li 0.0000 0.5000 0.2500  4 Y 3.00, 4 Cl 3.27, 4 Li 3.27
3 Y 0.0000 0.5000 0.7500  8 Li 3.00-3.27, 4 Cl 3.27
4 Cl 0.0000 0.0000 0.5000  8 Li 3.00-3.27, 4 Y 3.27

## Properties
Density of states at the Fermi level, states/eV/f.u.: 2.38
Calculated density, Mg/m³: 2.56

Winner for stability: *2*

*1*
This record from Alexandria via LeMat-Bulk describes an optimized crystal structure of Li2YCl. The functional is PBE.

Cell: 3.9210 3.9210 6.0007 Å, 90.00 90.00 90.00°
Closest atoms and distances in Å follow each position.
Space group P4/mmm (No. 123)
Unique sites:
1 Li 0.0000 0.5000 0.0000  4 Li 2.77
2 Y 0.0000 0.0000 0.5000  4 Cl 2.77
3 Cl 0.5000 0.5000 0.5000  4 Y 2.77

## Properties
Density of states at the Fermi level, states/eV/f.u.: 3.54
Calculated density, Mg/m³: 2.49

*2*
This record from Alexandria via LeMat-Bulk describes an optimized crystal structure of Li2YCl. The functional is PBE.

Cell: 3.6910 3.4181 7.7831 Å, 90.00 93.22 90.00°
Closest atoms and distances in Å follow each position.
Space group Pm (No. 6)
Unique sites:
1 Li 0.0000 0.0000 0.0000  2 Cl 2.45
2 Li 0.4834 0.5000 0.7717  6 Li 3.06-3.42, 4 Y 3.23-3.24
3 Y 0.9553 0.0000 0.5098  2 Cl 2.83
4 Cl 0.9094 0.5000 0.2196  2 Li 2.45

## Properties
Density of states at the Fermi level, states/eV/f.u.: 3.39
Calculated density, Mg/m³: 2.34

Winner for stability: *2*